# 1
A plane-wave DFT calculation with PBE was carried out for crystalline MgCdP2Cl at its relaxed geometry.

Properties
Its space group is No. 123. The formation energy without anion corrections comes out at 0.329 eV per atom. The value obtained for the total energy is -2.707 eV per atom. The value obtained for the excess energy over the best structure of this formula in the dataset is 0 meV/atom. The total moment is 1.01 Bohr magnetons per cell.

Structure (POSCAR):
```
MgCdP2Cl
1.0
4.9553 0.0000 0.0000
0.0000 4.9553 0.0000
0.0000 0.0000 4.8294
Mg Cd P Cl
1 1 2 1
Direct
0.0000 0.0000 0.0000 Mg
0.5000 0.5000 0.5000 Cd
0.0000 0.5000 0.0000 P
0.5000 0.0000 0.0000 P
0.0000 0.0000 0.5000 Cl
```

=====

# 2
A plane-wave DFT calculation with PBE was carried out for crystalline Nd4ZnCd3 at its relaxed geometry.

Properties
Its space group is No. 25. The value obtained for the total energy is -3.145 eV per atom. The value obtained for the excess energy over the best structure of this formula in the dataset is 57 meV/atom. As for the energy relative to the elements: -24.9 kJ/mol of atoms. The total moment is 0.00 Bohr magnetons per cell.

Structure (POSCAR):
```
Nd4ZnCd3
1.0
3.6302 0.0000 0.0000
0.0000 4.9238 0.0000
0.0000 0.0000 12.5000
Nd Zn Cd
4 1 3
Direct
0.0000 0.0000 0.0000 Nd
0.0000 0.5000 0.3053 Nd
0.5000 0.0000 0.4861 Nd
0.5000 0.5000 0.8127 Nd
0.5000 0.0000 0.2224 Zn
0.0000 0.0000 0.7203 Cd
0.0000 0.5000 0.5813 Cd
0.5000 0.5000 0.0860 Cd
```

=====

# 3
A plane-wave DFT calculation with PBE was carried out for crystalline CsTl3In2I6 at its relaxed geometry.

Properties
Its space group is No. 12. The formation energy without anion corrections comes out at -0.732 eV per atom. The value obtained for the total energy is -2.626 eV per atom. The total moment is 0.00 Bohr magnetons per cell.

Structure (POSCAR):
```
CsTl3In2I6
1.0
11.0852 -2.5420 0.0000
11.0852 2.5420 0.0000
-2.3297 0.0000 9.9363
Cs Tl In I
1 3 2 6
Direct
0.0000 0.0000 0.0000 Cs
0.0000 0.0000 0.5000 Tl
0.3349 0.3349 0.1699 Tl
0.6651 0.6651 0.8301 Tl
0.3306 0.3306 0.6626 In
0.6694 0.6694 0.3374 In
0.1686 0.1686 0.5824 I
0.1750 0.1750 0.0905 I
0.4965 0.4965 0.7303 I
0.5035 0.5035 0.2697 I
0.8250 0.8250 0.9095 I
0.8314 0.8314 0.4176 I
```

=====

# 4
A plane-wave DFT calculation with PBE was carried out for crystalline SrV2MoI at its relaxed geometry.

Properties
Its space group is No. 123. The formation energy without anion corrections comes out at 2.755 eV per atom. The value obtained for the total energy is -3.705 eV per atom. The total moment is 0.00 Bohr magnetons per cell.

Structure (POSCAR):
```
SrV2MoI
1.0
4.8126 0.0000 0.0000
0.0000 4.8126 0.0000
0.0000 0.0000 5.0036
Sr V Mo I
1 2 1 1
Direct
0.0000 0.0000 0.0000 Sr
0.0000 0.5000 0.0000 V
0.5000 0.0000 0.0000 V
0.0000 0.0000 0.5000 Mo
0.5000 0.5000 0.5000 I
```

=====

# 5
A plane-wave DFT calculation with PBE was carried out for crystalline NaTbAgPb at its relaxed geometry.

Properties
Its space group is No. 216. The value obtained for the total energy is -3.374 eV per atom. As for the energy relative to the elements: -23.8 kJ/mol of atoms. The total moment is 0.00 Bohr magnetons per cell.

Structure (POSCAR):
```
NaTbAgPb
1.0
7.3957 0.0000 0.0000
0.0000 7.3957 0.0000
0.0000 0.0000 7.3957
Na Tb Ag Pb
4 4 4 4
Direct
0.0000 0.0000 0.0000 Na
0.0000 0.5000 0.5000 Na
0.5000 0.0000 0.5000 Na
0.5000 0.5000 0.0000 Na
0.0000 0.0000 0.5000 Tb
0.0000 0.5000 0.0000 Tb
0.5000 0.0000 0.0000 Tb
0.5000 0.5000 0.5000 Tb
0.2500 0.2500 0.7500 Ag
0.2500 0.7500 0.2500 Ag
0.7500 0.2500 0.2500 Ag
0.7500 0.7500 0.7500 Ag
0.2500 0.2500 0.2500 Pb
0.2500 0.7500 0.7500 Pb
0.7500 0.2500 0.7500 Pb
0.7500 0.7500 0.2500 Pb
```

=====

# 6
A plane-wave DFT calculation with PBE was carried out for crystalline La2YCd5 at its relaxed geometry.

Properties
Its space group is No. 139. The value obtained for the total energy is -2.925 eV per atom. As for the energy relative to the elements: -30.2 kJ/mol of atoms. The total moment is 0.46 Bohr magnetons per cell.

Structure (POSCAR):
```
La2YCd5
1.0
5.1817 0.0000 0.0000
0.0000 5.1817 0.0000
0.0000 0.0000 15.9289
La Y Cd
4 2 10
Direct
0.0000 0.0000 0.2369 La
0.0000 0.0000 0.7631 La
0.5000 0.5000 0.2631 La
0.5000 0.5000 0.7369 La
0.0000 0.0000 0.5000 Y
0.5000 0.5000 0.0000 Y
0.0000 0.0000 0.0000 Cd
0.0000 0.5000 0.1118 Cd
0.0000 0.5000 0.3882 Cd
0.0000 0.5000 0.6118 Cd
0.0000 0.5000 0.8882 Cd
0.5000 0.0000 0.1118 Cd
0.5000 0.0000 0.3882 Cd
0.5000 0.0000 0.6118 Cd
0.5000 0.0000 0.8882 Cd
0.5000 0.5000 0.5000 Cd
```